(1)
4
Lattice="2.487 -4.170 0.000 2.487 4.170 0.000 -0.728 0.000 2.404" Properties=species:S:1:pos:R:3 comment="CrFe2Tc | Alexandria | PBE | optimized geometry" space_group="C2/m (12)" dos_at_fermi_per_ev_cell=3.834 e_tot_ev_per_atom=-9.11 delta_e_f_ev_per_atom=0.12 pbc="T T T"
Cr 0.000 0.000 0.000
Fe 0.879 2.085 1.202
Fe 0.879 -2.085 1.202
Tc 2.487 0.000 0.000

---

(2)
3
Lattice="4.203 0.000 0.000 -2.101 3.640 0.000 0.000 0.000 3.575" Properties=species:S:1:pos:R:3 comment="ErGaCo | Alexandria | PBE | optimized geometry" space_group="P-6m2 (187)" dos_at_fermi_per_ev_cell=2.137 e_tot_ev_per_atom=-5.32 delta_e_f_ev_per_atom=-0.42 pbc="T T T"
Er 0.000 0.000 0.000
Ga 2.101 1.213 1.788
Co 0.000 2.426 1.788

---

(3)
3
Lattice="3.038 0.000 0.000 0.001 3.039 0.000 1.447 1.475 5.064" Properties=species:S:1:pos:R:3 comment="SmBRu | Alexandria | PBE | optimized geometry" space_group="P1 (1)" dos_at_fermi_per_ev_cell=1.915 e_tot_ev_per_atom=-7.00 delta_e_f_ev_per_atom=-0.11 pbc="T T T"
Sm 0.000 0.000 0.000
B 3.011 3.022 2.943
Ru 1.502 1.510 2.293

---

(4)
4
Lattice="1.583 0.914 8.376 -1.583 0.914 8.376 0.000 -1.828 8.376" Properties=species:S:1:pos:R:3 comment="Tl2CoRu | Alexandria | PBE | optimized geometry" space_group="R-3m (166)" dos_at_fermi_per_ev_cell=5.184 e_tot_ev_per_atom=-4.58 delta_e_f_ev_per_atom=0.70 pbc="T T T"
Tl 0.000 0.000 6.219
Tl 0.000 0.000 18.909
Co 0.000 0.000 12.564
Ru 0.000 0.000 0.000

---

(5)
4
Lattice="3.468 -2.006 0.000 3.468 2.006 0.000 -2.263 0.000 6.685" Properties=species:S:1:pos:R:3 comment="ZnTe2Ir | Alexandria | PBE | optimized geometry" space_group="C2/m (12)" dos_at_fermi_per_ev_cell=2.226 e_tot_ev_per_atom=-4.19 pbc="T T T"
Zn 0.000 0.000 0.000
Te 0.019 0.000 4.736
Te 4.654 0.000 1.949
Ir 2.337 0.000 3.343

---

(6)
11
Lattice="7.310 -2.023 0.000 7.310 2.023 0.000 -1.982 0.000 5.389" Properties=species:S:1:pos:R:3 comment="CePu2F8 | Alexandria | PBE | optimized geometry" space_group="C2/m (12)" dos_at_fermi_per_ev_cell=33.978 e_tot_ev_per_atom=-8.14 pbc="T T T"
Ce 0.000 0.000 0.000
Pu 4.060 0.000 1.704
Pu 8.577 0.000 3.685
F 0.568 0.000 2.329
F 0.519 0.000 5.162
F 2.832 0.000 3.739
F 6.467 0.000 1.074
F 6.170 0.000 4.314
F 9.805 0.000 1.650
F 12.118 0.000 0.227
F 12.069 0.000 3.060

---

(7)
10
Lattice="4.385 -6.859 0.000 4.385 6.859 0.000 0.000 0.000 5.307" Properties=species:S:1:pos:R:3 comment="Ho7TmRh2 | Alexandria | PBE | optimized geometry" space_group="Cmmm (65)" dos_at_fermi_per_ev_cell=11.882 e_tot_ev_per_atom=-5.27 delta_e_f_ev_per_atom=-0.15 pbc="T T T"
Ho 0.000 0.000 0.000
Ho 2.698 1.787 0.000
Ho 4.385 4.047 2.653
Ho 2.698 -1.787 0.000
Ho 6.071 1.787 0.000
Ho 4.385 -4.047 2.653
Ho 6.071 -1.787 0.000
Tm 4.385 0.000 2.653
Rh 4.385 4.021 0.000
Rh 4.385 -4.021 0.000

---

(8)
4
Lattice="3.041 0.000 0.000 0.000 4.011 0.000 -0.745 0.000 5.986" Properties=species:S:1:pos:R:3 comment="Ta2MnPb | Alexandria | PBE | optimized geometry" space_group="P2/m (10)" dos_at_fermi_per_ev_cell=3.066 e_tot_ev_per_atom=-8.76 delta_e_f_ev_per_atom=0.39 pbc="T T T"
Ta -0.001 0.000 1.735
Ta 2.296 0.000 4.250
Mn 1.148 2.006 2.993
Pb 1.520 2.006 0.000